Model i:
Material: Cd3Sb
Method: DFT, PBEsol
State: relaxed

Output
The calculation puts the size of the total moment at 0.00 μB/cell. The value obtained for the volume is 22.79 Å³/atom.

Cell lengths 4.501, 4.501, 4.501 Å; angles 90.00, 90.00, 90.00 degrees
Atoms (fractional coordinates):
Cd 0.000 0.000 0.500
Cd 0.000 0.500 0.000
Cd 0.500 0.000 0.000
Sb 0.500 0.500 0.500


Model ii:
Material: Cd3Sb
Method: DFT, PBEsol
State: relaxed

Output
The calculation puts the size of the total moment at 0.00 μB/cell. The value obtained for the volume is 23.43 Å³/atom.

Cell lengths 5.046, 8.841, 8.404 Å; angles 90.00, 90.00, 90.00 degrees
Atoms (fractional coordinates):
Cd 0.144 0.250 0.150
Cd 0.176 0.018 0.857
Cd 0.176 0.482 0.857
Cd 0.324 0.518 0.357
Cd 0.324 0.982 0.357
Cd 0.356 0.750 0.650
Cd 0.644 0.250 0.350
Cd 0.676 0.018 0.643
Cd 0.676 0.482 0.643
Cd 0.824 0.518 0.143
Cd 0.824 0.982 0.143
Cd 0.856 0.750 0.850
Sb 0.081 0.250 0.586
Sb 0.419 0.750 0.086
Sb 0.581 0.250 0.914
Sb 0.919 0.750 0.414


The most stable of them is model ii.